(1)
# Nd2Hg5Bi PBE relaxed
# DOS at the Fermi energy: 0.3625 states/eV per atom
# calculated formation energy: -0.433 eV/atom
data_Nd2Hg5Bi
_cell_length_a 6.8060
_cell_length_b 13.6088
_cell_length_c 4.6015
_cell_angle_alpha 90.00
_cell_angle_beta 90.00
_cell_angle_gamma 90.00
_space_group_name_H-M_alt 'P b a m'
_space_group_IT_number 55
loop_
_space_group_symop_operation_xyz
'x,y,z'
'-x,-y,-z'
'-x,-y,z'
'x,y,-z'
'x+1/2,-y+1/2,-z'
'-x+1/2,y+1/2,z'
'-x+1/2,y+1/2,-z'
'x+1/2,-y+1/2,z'
loop_
_atom_site_label
_atom_site_type_symbol
_atom_site_fract_x
_atom_site_fract_y
_atom_site_fract_z
_atom_site_occupancy
Nd1 Nd 0.2291 0.1192 0.0000 1
Hg1 Hg 0.0000 0.5000 0.5000 1
Hg2 Hg 0.0326 0.7460 0.5000 1
Hg3 Hg 0.2190 0.3643 0.0000 1
Bi1 Bi 0.0000 0.0000 0.5000 1



(2)
# SrPb2S3 PBE relaxed
# DOS at the Fermi energy: 0.0000 states/eV per atom
# formation energy (no corrections): -6.47 eV/f.u.
# distance to the lowest polymorph of the same formula: 0.0000 eV per atom
data_SrPb2S3
_cell_length_a 4.2607
_cell_length_b 6.0128
_cell_length_c 12.8019
_cell_angle_alpha 90.00
_cell_angle_beta 90.00
_cell_angle_gamma 90.00
_space_group_name_H-M_alt 'I m m m'
_space_group_IT_number 71
_space_group_name_Hall '-I 2 2'
loop_
_atom_site_label
_atom_site_type_symbol
_atom_site_fract_x
_atom_site_fract_y
_atom_site_fract_z
_atom_site_occupancy
Sr1 Sr 0.0000 0.0000 0.0000 1
Pb1 Pb 0.0000 0.0000 0.3333 1
S1 S 0.0000 0.5000 0.0000 1
S2 S 0.0000 0.5000 0.3344 1



Number 1: calculated total energy -2.30 eV per atom, calculated density 11.7 g cm⁻³. Number 2: calculated total energy -4.66 eV per atom, calculated density 6.1 g cm⁻³.